(1)
The following is a DFT calculation (meta-GGA SCAN) of a PBEsol-optimized structure of NaYFe2F.

**ΔE_f (raw)**: 1115 meV per atom
**Space-group type**: P4/mmm, No. 123
**Crystal system**: tetragonal
**Uncorrected energy**: -13.26 eV/atom

Unit cell a=4.5450 b=4.5450 c=8.4701 alpha=90.00 beta=90.00 gamma=90.00
Closest atoms and distances in Å follow each position.
Atoms (fractional coordinates):
Na 0.0000 0.0000 0.0000  4 F 3.21
Y 0.0000 0.0000 0.5000  4 Fe 2.27
Fe 0.0000 0.5000 0.5000  2 Y 2.27
Fe 0.5000 0.0000 0.5000  2 Y 2.27
F 0.5000 0.5000 0.0000  4 Na 3.21

***

(2)
The following is a DFT calculation (meta-GGA SCAN) of a PBEsol-optimized structure of Nb2FeRuF.

**ΔE_f (raw)**: 833 meV per atom
**Space-group type**: P4/mmm, No. 123
**Crystal system**: tetragonal
**Uncorrected energy**: -23.72 eV/atom

Unit cell a=4.7225 b=4.7225 c=4.5446 alpha=90.00 beta=90.00 gamma=90.00
Closest atoms and distances in Å follow each position.
Atoms (fractional coordinates):
Nb 0.0000 0.5000 0.0000  2 Ru 2.36
Nb 0.5000 0.0000 0.0000  2 Ru 2.36
Fe 0.0000 0.0000 0.5000  2 Ru 2.27
Ru 0.0000 0.0000 0.0000  2 Fe 2.27, 4 Nb 2.36
F 0.5000 0.5000 0.5000  8 Nb 3.28, 4 Fe 3.34

***

(3)
The following is a DFT calculation (meta-GGA SCAN) of a PBEsol-optimized structure of SrFe2NiF.

**ΔE_f (raw)**: -147 meV per atom
**Space-group type**: P4/mmm, No. 123
**Crystal system**: tetragonal
**Uncorrected energy**: -15.80 eV/atom

Unit cell a=4.1906 b=4.1906 c=6.0816 alpha=90.00 beta=90.00 gamma=90.00
Closest atoms and distances in Å follow each position.
Atoms (fractional coordinates):
Sr 0.0000 0.0000 0.0000  4 F 2.96, 2 Ni 3.04
Fe 0.0000 0.5000 0.5000  2 Ni 2.10
Fe 0.5000 0.0000 0.5000  2 Ni 2.10
Ni 0.0000 0.0000 0.5000  4 Fe 2.10
F 0.5000 0.5000 0.0000  4 Sr 2.96